# 1
ErMnGa | PBE-GGA | relaxed

Calculated values
For the calculated volume, the calculation gives 175.2 Å³ per cell. For the density of states at the Fermi level, the calculation gives 10.634 states/eV/cell. The value obtained for the total magnetic moment is 3.1 μB/f.u. The space group is P-62m, No. 189. As for the formation energy: -0.2823 eV/atom.

Unit cell a=7.082 b=7.082 c=4.033 alpha=90.00 beta=90.00 gamma=120.00
Sites, in units of the cell vectors:
1 Er 0.000 0.587 0.000
2 Er 0.413 0.413 0.000
3 Er 0.587 0.000 0.000
4 Mn 0.000 0.237 0.500
5 Mn 0.237 0.000 0.500
6 Mn 0.763 0.763 0.500
7 Ga 0.000 0.000 0.000
8 Ga 0.333 0.667 0.500
9 Ga 0.667 0.333 0.500

# 2
Er2MnGa6 | PBE-GGA | relaxed

Calculated values
For the calculated volume, the calculation gives 164.7 Å³ per cell. For the density of states at the Fermi level, the calculation gives 2.178 states/eV/cell. The value obtained for the total magnetic moment is 2.3 μB/f.u. The space group is Fm-3m, No. 225. As for the formation energy: -0.4923 eV/atom.

Unit cell a=6.153 b=6.153 c=6.153 alpha=60.00 beta=60.00 gamma=60.00
Sites, in units of the cell vectors:
1 Er 0.250 0.250 0.250
2 Er 0.750 0.750 0.750
3 Mn 0.000 0.000 0.000
4 Ga 0.280 0.280 0.720
5 Ga 0.280 0.720 0.280
6 Ga 0.280 0.720 0.720
7 Ga 0.720 0.280 0.280
8 Ga 0.720 0.280 0.720
9 Ga 0.720 0.720 0.280

# 3
Er4MnGa12 | PBE-GGA | relaxed

Calculated values
For the calculated volume, the calculation gives 314.5 Å³ per cell. For the density of states at the Fermi level, the calculation gives 4.960 states/eV/cell. The value obtained for the total magnetic moment is 2.5 μB/f.u. The space group is Im-3m, No. 229. As for the formation energy: -0.5182 eV/atom.

Unit cell a=7.420 b=7.420 c=7.420 alpha=109.47 beta=109.47 gamma=109.47
Sites, in units of the cell vectors:
1 Er 0.000 0.000 0.500
2 Er 0.000 0.500 0.000
3 Er 0.500 0.000 0.000
4 Er 0.500 0.500 0.500
5 Mn 0.000 0.000 0.000
6 Ga 0.000 0.288 0.288
7 Ga 0.000 0.712 0.712
8 Ga 0.250 0.500 0.750
9 Ga 0.250 0.750 0.500
10 Ga 0.288 0.000 0.288
11 Ga 0.288 0.288 0.000
12 Ga 0.500 0.250 0.750
13 Ga 0.500 0.750 0.250
14 Ga 0.712 0.000 0.712
15 Ga 0.712 0.712 0.000
16 Ga 0.750 0.250 0.500
17 Ga 0.750 0.500 0.250

# 4
ErMnGa | PBE-GGA | relaxed

Calculated values
For the calculated volume, the calculation gives 172.8 Å³ per cell. For the density of states at the Fermi level, the calculation gives 7.570 states/eV/cell. The value obtained for the total magnetic moment is 2.8 μB/f.u. The space group is Amm2, No. 38. As for the formation energy: -0.1785 eV/atom.

Unit cell a=3.910 b=7.153 c=7.153 alpha=120.28 beta=90.00 gamma=90.00
Sites, in units of the cell vectors:
1 Er 0.000 0.000 0.000
2 Er 0.000 0.173 0.580
3 Er 0.000 0.580 0.173
4 Mn 0.500 0.245 0.917
5 Mn 0.500 0.340 0.340
6 Mn 0.500 0.917 0.245
7 Ga 0.000 0.580 0.580
8 Ga 0.500 0.576 0.838
9 Ga 0.500 0.838 0.576

# 5
ErMnGa5Ni2 | PBE-GGA | relaxed

Calculated values
For the calculated volume, the calculation gives 149.6 Å³ per cell. For the density of states at the Fermi level, the calculation gives 4.840 states/eV/cell. The value obtained for the total magnetic moment is 2.8 μB/f.u. The space group is P4/mmm, No. 123. As for the formation energy: -0.1559 eV/atom.

Unit cell a=4.628 b=4.628 c=6.985 alpha=90.00 beta=90.00 gamma=90.00
Sites, in units of the cell vectors:
1 Er 0.000 0.000 0.000
2 Mn 0.000 0.000 0.500
3 Ga 0.000 0.500 0.299
4 Ga 0.000 0.500 0.701
5 Ga 0.500 0.000 0.299
6 Ga 0.500 0.000 0.701
7 Ga 0.500 0.500 0.000
8 Ni 0.500 0.500 0.330
9 Ni 0.500 0.500 0.670

# 6
Er2MnGa4Ni3 | PBE-GGA | relaxed

Calculated values
For the calculated volume, the calculation gives 164.6 Å³ per cell. For the density of states at the Fermi level, the calculation gives 5.256 states/eV/cell. The value obtained for the total magnetic moment is 2.9 μB/f.u. The space group is P-4m2, No. 115. As for the formation energy: -0.4986 eV/atom.

Unit cell a=3.922 b=3.922 c=10.701 alpha=90.00 beta=90.00 gamma=90.00
Sites, in units of the cell vectors:
1 Er 0.000 0.500 0.243
2 Er 0.500 0.000 0.757
3 Mn 0.000 0.000 0.500
4 Ga 0.000 0.000 0.000
5 Ga 0.000 0.500 0.641
6 Ga 0.500 0.000 0.359
7 Ga 0.500 0.500 0.000
8 Ni 0.000 0.500 0.863
9 Ni 0.500 0.000 0.137
10 Ni 0.500 0.500 0.500

# 7
Er2MnGa3Ni4 | PBE-GGA | relaxed

Calculated values
For the calculated volume, the calculation gives 159.6 Å³ per cell. For the density of states at the Fermi level, the calculation gives 7.580 states/eV/cell. The value obtained for the total magnetic moment is 3.4 μB/f.u. The space group is P-4m2, No. 115. As for the formation energy: -0.4702 eV/atom.

Unit cell a=3.843 b=3.843 c=10.802 alpha=90.00 beta=90.00 gamma=90.00
Sites, in units of the cell vectors:
1 Er 0.000 0.500 0.244
2 Er 0.500 0.000 0.756
3 Mn 0.500 0.500 0.000
4 Ga 0.000 0.000 0.000
5 Ga 0.000 0.500 0.632
6 Ga 0.500 0.000 0.368
7 Ni 0.000 0.000 0.500
8 Ni 0.000 0.500 0.855
9 Ni 0.500 0.000 0.145
10 Ni 0.500 0.500 0.500